Entry 1:
Compound: Tb2PdPt
Source: Alexandria via LeMat-Bulk
Functional: GGA-PBE
Structure: relaxed

Properties
* formation energy from the elements: -169 meV per atom
* E: -5.293 eV/atom

Geometry as CIF:
```
data_Tb2PdPt
_space_group_name_H-M_alt 'R -3 m'
_space_group_IT_number 166
_space_group_name_Hall '-R 3 2"'
_cell_length_a 3.6613
_cell_length_b 3.6613
_cell_length_c 27.0522
_cell_angle_alpha 90.00
_cell_angle_beta 90.00
_cell_angle_gamma 120.00
loop_
_atom_site_label
_atom_site_fract_x
_atom_site_fract_y
_atom_site_fract_z
_atom_site_occupancy
Tb1 0.0000 0.0000 0.0969 1
Pd1 0.0000 0.0000 0.5000 1
Pt1 0.0000 0.0000 0.0000 1
```

Entry 2:
Compound: TbDyGa
Source: Alexandria via LeMat-Bulk
Functional: GGA-PBE
Structure: relaxed

Properties
* formation energy from the elements: -248 meV per atom
* energy above the lowest structure with this stoichiometry: 143 meV per atom
* E: -4.334 eV/atom

Geometry as CIF:
```
data_TbDyGa
_space_group_name_H-M_alt 'F -4 3 m'
_space_group_IT_number 216
_space_group_name_Hall 'F -4 2 3'
_cell_length_a 7.024
_cell_length_b 7.024
_cell_length_c 7.024
_cell_angle_alpha 90.00
_cell_angle_beta 90.00
_cell_angle_gamma 90.00
loop_
_atom_site_label
_atom_site_fract_x
_atom_site_fract_y
_atom_site_fract_z
_atom_site_occupancy
Tb1 0.000 0.000 0.000 1
Dy1 0.000 0.000 0.500 1
Ga1 0.250 0.250 0.250 1
```

Entry 3:
Compound: SrScCr2
Source: Alexandria via LeMat-Bulk
Functional: GGA-PBE
Structure: relaxed

Properties
* formation energy from the elements: 1157 meV per atom
* energy above the lowest structure with this stoichiometry: 688 meV per atom
* E: -5.658 eV/atom

Geometry as CIF:
```
data_SrScCr2
_space_group_name_H-M_alt 'I 41/a m d'
_space_group_IT_number 141
_cell_length_a 4.918
_cell_length_b 4.918
_cell_length_c 18.746
_cell_angle_alpha 90.00
_cell_angle_beta 90.00
_cell_angle_gamma 90.00
loop_
_space_group_symop_operation_xyz
'x,y,z'
'-x,-y,-z'
'-y+1/4,x+3/4,z+1/4'
'y+1/4,-x+3/4,-z+1/4'
'-x+1/2,-y,z+1/2'
'x+1/2,y,-z+1/2'
'y+1/4,-x+1/4,z+3/4'
'-y+1/4,x+1/4,-z+3/4'
'x,-y,-z'
'-x,y,z'
'-y+1/4,-x+1/4,-z+3/4'
'y+1/4,x+1/4,z+3/4'
'-x+1/2,y,-z+1/2'
'x+1/2,-y,z+1/2'
'y+1/4,x+3/4,-z+1/4'
'-y+1/4,-x+3/4,z+1/4'
'x+1/2,y+1/2,z+1/2'
'-x+1/2,-y+1/2,-z+1/2'
'-y+3/4,x+1/4,z+3/4'
'y+3/4,-x+1/4,-z+3/4'
'-x,-y+1/2,z'
'x,y+1/2,-z'
'y+3/4,-x+3/4,z+1/4'
'-y+3/4,x+3/4,-z+1/4'
'x+1/2,-y+1/2,-z+1/2'
'-x+1/2,y+1/2,z+1/2'
'-y+3/4,-x+3/4,-z+1/4'
'y+3/4,x+3/4,z+1/4'
'-x,y+1/2,-z'
'x,-y+1/2,z'
'y+3/4,x+1/4,-z+3/4'
'-y+3/4,-x+1/4,z+3/4'
loop_
_atom_site_label
_atom_site_fract_x
_atom_site_fract_y
_atom_site_fract_z
_atom_site_occupancy
Sr1 0.000 0.250 0.375 1
Sc1 0.000 0.250 0.875 1
Cr1 0.000 0.000 0.000 1
```

The highest formation energy from the elements belongs to which entry?
SrScCr2

Among the records above, which one has the lowest formation energy from the elements?
TbDyGa